[1]
Density functional theory data (GGA-PBE) for a geometry-optimized BeSiI3 structure.

Computed properties:
Calculated volume: 145.4 Å³ per cell
DOS at the Fermi energy: 0.365 states/eV per atom
Distance to the lowest polymorph of the same formula: 0.0000 eV per atom

```
data_BeSiI3
_space_group_name_H-M_alt 'P m -3 m'
_space_group_IT_number 221
_space_group_name_Hall '-P 4 2 3'
_cell_length_a 5.258
_cell_length_b 5.258
_cell_length_c 5.258
_cell_angle_alpha 90.00
_cell_angle_beta 90.00
_cell_angle_gamma 90.00
loop_
_atom_site_label
_atom_site_type_symbol
_atom_site_fract_x
_atom_site_fract_y
_atom_site_fract_z
Be1 Be 0.000 0.000 0.000
Si1 Si 0.500 0.500 0.500
I1 I 0.000 0.000 0.500
```



[2]
Density functional theory data (GGA-PBE) for a geometry-optimized HgPb6 structure.

Computed properties:
Calculated volume: 641.3 Å³ per cell
DOS at the Fermi energy: 0.325 states/eV per atom
Energy of formation: 0.33 eV per atom
Distance to the lowest polymorph of the same formula: 0.2944 eV per atom

```
data_HgPb6
_space_group_name_H-M_alt 'I m -3 m'
_space_group_IT_number 229
_space_group_name_Hall '-I 4 2 3'
_cell_length_a 8.624
_cell_length_b 8.624
_cell_length_c 8.624
_cell_angle_alpha 90.00
_cell_angle_beta 90.00
_cell_angle_gamma 90.00
loop_
_atom_site_label
_atom_site_type_symbol
_atom_site_fract_x
_atom_site_fract_y
_atom_site_fract_z
Hg1 Hg 0.000 0.000 0.000
Pb1 Pb 0.000 0.250 0.500
```



Number 2 is which compound?
HgPb6



Copy entry 2 word for word.
Density functional theory data (GGA-PBE) for a geometry-optimized HgPb6 structure.

Computed properties:
Calculated volume: 641.3 Å³ per cell
DOS at the Fermi energy: 0.325 states/eV per atom
Energy of formation: 0.33 eV per atom
Distance to the lowest polymorph of the same formula: 0.2944 eV per atom

```
data_HgPb6
_space_group_name_H-M_alt 'I m -3 m'
_space_group_IT_number 229
_space_group_name_Hall '-I 4 2 3'
_cell_length_a 8.624
_cell_length_b 8.624
_cell_length_c 8.624
_cell_angle_alpha 90.00
_cell_angle_beta 90.00
_cell_angle_gamma 90.00
loop_
_atom_site_label
_atom_site_type_symbol
_atom_site_fract_x
_atom_site_fract_y
_atom_site_fract_z
Hg1 Hg 0.000 0.000 0.000
Pb1 Pb 0.000 0.250 0.500
```



Among the records above, which one has the highest calculated volume?
HgPb6



Number 1 is which compound?
BeSiI3